Density functional theory data (PBE) for crystalline BaTl2Cr at its relaxed geometry.

Crystal system: monoclinic
Calculated formation energy, kJ/mol of formula units: 47.8

abc: 8.5148 4.9096 6.8182
angles: 90.00 114.68 90.00
With the nearest neighbours (Å) after each atom.
Space group Cm (No. 8)
Unique sites:
Ba  0.0000  0.0000  0.0000  4 Cr 3.53-3.90, 7 Tl 3.63-3.93
Tl  0.2109  0.0000  0.6338  3 Cr 3.10-3.11, 3 Tl 3.27
Tl  0.4564  0.0000  0.3708  3 Cr 2.86
Cr  0.3095  0.5000  0.4301  6 Tl 2.86-3.11